No. 1
The following is a DFT calculation (SCAN) of a PBEsol-optimized structure of ZnRuW.

abc: 2.6714 2.6714 6.7625
angles: 96.89 96.89 113.11
Sites, in units of the cell vectors:
Ru 0.9991 0.9991 0.9982
W 0.3371 0.3371 0.6741
Zn 0.6639 0.6639 0.3277

Values from the calculation:
The value obtained for the total DFT energy (no corrections) is -39.12 eV per atom. The value obtained for the calculated volume is 43 Å³ per cell. Its space-group type is Fmm2, No. 42. The calculation puts the spin magnetization at 0.44 μB per cell. Its formation energy is 219 meV/atom. As for the distance to the lowest polymorph of the same formula: 142.6 meV per atom.

No. 2
The following is a DFT calculation (SCAN) of a PBEsol-optimized structure of Ti2FeS4.

abc: 3.3167 5.6655 6.3909
angles: 116.94 105.04 90.00
Sites, in units of the cell vectors:
S 0.8901 0.2234 0.7802
S 0.1099 0.7766 0.2198
S 0.3854 0.7259 0.7709
S 0.6146 0.2741 0.2291
Fe 0.0000 0.0000 0.0000
Ti 0.2561 0.2473 0.5123
Ti 0.7439 0.7527 0.4877

Values from the calculation:
The value obtained for the total DFT energy (no corrections) is -13.93 eV per atom. The value obtained for the calculated volume is 102 Å³ per cell. Its space-group type is C2/m, No. 12. The calculation puts the spin magnetization at 0.00 μB per cell.

No. 3
The following is a DFT calculation (SCAN) of a PBEsol-optimized structure of Cd2FeHg.

abc: 2.9702 2.9702 9.7428
angles: 81.23 81.23 60.00
Sites, in units of the cell vectors:
Cd 0.2412 0.2412 0.2765
Cd 0.7588 0.7588 0.7235
Fe 0.5000 0.5000 0.5000
Hg 0.0000 0.0000 0.0000

Values from the calculation:
The value obtained for the total DFT energy (no corrections) is -36.53 eV per atom. The value obtained for the calculated volume is 73 Å³ per cell. Its space-group type is R-3m, No. 166. The calculation puts the spin magnetization at 2.78 μB per cell. Its formation energy is 246 meV/atom.

No. 4
The following is a DFT calculation (SCAN) of a PBEsol-optimized structure of Y6CoI10.

abc: 7.5066 9.3506 9.4638
angles: 107.36 97.00 104.67
Sites, in units of the cell vectors:
Y 0.8857 0.9588 0.2416
Y 0.1143 0.0412 0.7584
Y 0.0319 0.7258 0.9192
Y 0.9681 0.2742 0.0808
Y 0.6494 0.8755 0.8350
Y 0.3506 0.1245 0.1650
Co 0.0000 0.0000 0.0000
I 0.6451 0.5413 0.7236
I 0.3549 0.4587 0.2764
I 0.7338 0.9094 0.5331
I 0.2662 0.0906 0.4669
I 0.0871 0.3754 0.8171
I 0.9129 0.6246 0.1829
I 0.4517 0.8080 0.0937
I 0.5483 0.1920 0.9063
I 0.2191 0.7363 0.6475
I 0.7809 0.2637 0.3525

Values from the calculation:
The value obtained for the total DFT energy (no corrections) is -33.79 eV per atom. The value obtained for the calculated volume is 599 Å³ per cell. Its space-group type is P-1, No. 2. The calculation puts the spin magnetization at 1.04 μB per cell.

No. 5
The following is a DFT calculation (SCAN) of a PBEsol-optimized structure of KTePt2.

abc: 2.8808 5.3977 5.8955
angles: 116.97 103.68 90.99
Sites, in units of the cell vectors:
K 0.5000 0.5000 0.0000
Pt 0.0000 0.0000 0.5000
Pt 0.5000 0.5000 0.5000
Te 0.0000 0.0000 0.0000

Values from the calculation:
The value obtained for the total DFT energy (no corrections) is -46.27 eV per atom. The value obtained for the calculated volume is 79 Å³ per cell. Its space-group type is C2/m, No. 12. The calculation puts the spin magnetization at 0.00 μB per cell.

No. 6
The following is a DFT calculation (SCAN) of a PBEsol-optimized structure of Rb2TmAgCl6.

abc: 7.3754 7.3754 7.3754
angles: 60.00 60.00 60.00
Sites, in units of the cell vectors:
Rb 0.7500 0.7500 0.7500
Rb 0.2500 0.2500 0.2500
Tm 0.0000 0.0000 0.0000
Ag 0.5000 0.5000 0.5000
Cl 0.7545 0.2455 0.2455
Cl 0.7545 0.7545 0.2455
Cl 0.2455 0.7545 0.7545
Cl 0.7545 0.2455 0.7545
Cl 0.2455 0.7545 0.2455
Cl 0.2455 0.2455 0.7545

Values from the calculation:
The value obtained for the total DFT energy (no corrections) is -19.30 eV per atom. The value obtained for the calculated volume is 284 Å³ per cell. Its space-group type is Fm-3m, No. 225. The calculation puts the spin magnetization at 0.00 μB per cell.

No. 7
The following is a DFT calculation (SCAN) of a PBEsol-optimized structure of ReRh.

abc: 2.6997 4.7368 5.1097
angles: 116.76 105.32 90.00
Sites, in units of the cell vectors:
Re 0.8746 0.7104 0.7492
Re 0.1254 0.2896 0.2508
Rh 0.3788 0.2072 0.7576
Rh 0.6212 0.7928 0.2424

Values from the calculation:
The value obtained for the total DFT energy (no corrections) is -52.55 eV per atom. The value obtained for the calculated volume is 56 Å³ per cell. Its space-group type is C2/m, No. 12. The calculation puts the spin magnetization at 0.00 μB per cell. Its formation energy is -120 meV/atom. As for the distance to the lowest polymorph of the same formula: 93.2 meV per atom.

No. 8
The following is a DFT calculation (SCAN) of a PBEsol-optimized structure of SrFe2Ag.

abc: 4.6601 4.6983 4.6601
angles: 60.27 90.00 119.73
Sites, in units of the cell vectors:
Ag 0.7500 0.5000 0.7500
Fe 0.0000 0.0000 0.0000
Fe 0.2500 0.5000 0.2500
Sr 0.5000 0.0000 0.5000

Values from the calculation:
The value obtained for the total DFT energy (no corrections) is -21.80 eV per atom. The value obtained for the calculated volume is 73 Å³ per cell. Its space-group type is I-4m2, No. 119. The calculation puts the spin magnetization at 5.67 μB per cell. Its formation energy is 676 meV/atom.

No. 9
The following is a DFT calculation (SCAN) of a PBEsol-optimized structure of Ca2YRh.

abc: 3.6882 4.0133 8.3735
angles: 103.89 90.00 90.00
Sites, in units of the cell vectors:
Y 0.5000 0.7407 0.4812
Ca 0.0000 0.0921 0.1845
Ca 0.5000 0.4169 0.8338
Rh 0.0000 0.2728 0.5451

Values from the calculation:
The value obtained for the total DFT energy (no corrections) is -20.62 eV per atom. The value obtained for the calculated volume is 120 Å³ per cell. Its space-group type is Amm2, No. 38. The calculation puts the spin magnetization at 0.01 μB per cell. Its formation energy is -387 meV/atom. As for the distance to the lowest polymorph of the same formula: 0.0 meV per atom.

No. 10
The following is a DFT calculation (SCAN) of a PBEsol-optimized structure of TbSi2Ni.

abc: 3.9511 3.9720 8.3319
angles: 76.21 90.00 90.00
Sites, in units of the cell vectors:
Ni 0.2500 0.6786 0.6428
Ni 0.7500 0.3214 0.3572
Si 0.7500 0.7502 0.4997
Si 0.2500 0.2498 0.5003
Si 0.2500 0.5404 0.9192
Si 0.7500 0.4596 0.0808
Tb 0.7500 0.1057 0.7885
Tb 0.2500 0.8943 0.2115

Values from the calculation:
The value obtained for the total DFT energy (no corrections) is -21.62 eV per atom. The value obtained for the calculated volume is 127 Å³ per cell. Its space-group type is Cmcm, No. 63. The calculation puts the spin magnetization at 0.00 μB per cell.

No. 11
The following is a DFT calculation (SCAN) of a PBEsol-optimized structure of Sc2AlCrH.

abc: 3.7427 4.3914 4.3914
angles: 90.00 90.00 90.00
Sites, in units of the cell vectors:
Sc 0.0000 0.0000 0.5000
Sc 0.0000 0.5000 0.0000
Cr 0.5000 0.0000 0.0000
Al 0.5000 0.5000 0.5000
H 0.0000 0.0000 0.0000

Values from the calculation:
The value obtained for the total DFT energy (no corrections) is -11.92 eV per atom. The value obtained for the calculated volume is 72 Å³ per cell. Its space-group type is P4/mmm, No. 123. The calculation puts the spin magnetization at 3.09 μB per cell.

No. 12
The following is a DFT calculation (SCAN) of a PBEsol-optimized structure of BePb3Cl.

abc: 5.4111 5.4111 5.4111
angles: 90.00 90.00 90.00
Sites, in units of the cell vectors:
Pb 0.0000 0.5000 0.0000
Pb 0.0000 0.0000 0.5000
Pb 0.5000 0.0000 0.0000
Be 0.5000 0.5000 0.5000
Cl 0.0000 0.0000 0.0000

Values from the calculation:
The value obtained for the total DFT energy (no corrections) is -47.11 eV per atom. The value obtained for the calculated volume is 158 Å³ per cell. Its space-group type is Pm-3m, No. 221. The calculation puts the spin magnetization at 0.00 μB per cell.